# Ba4In2Ir GGA-PBE relaxed
# DFT total energy ... -3.269 eV/atom
# Energy of formation from the pure elements ... -0.1218 eV/atom
# Total moment ... 1.7 μB per cell
data_Ba4In2Ir
_symmetry_space_group_name_H-M 'I 4/m m m'
_symmetry_Int_Tables_number 139
_symmetry_space_group_name_Hall '-I 4 2'
_cell_length_a 6.115
_cell_length_b 6.115
_cell_length_c 17.248
_cell_angle_alpha 90.00
_cell_angle_beta 90.00
_cell_angle_gamma 90.00
loop_
_atom_site_label
_atom_site_fract_x
_atom_site_fract_y
_atom_site_fract_z
Ba1 0.000 0.000 0.176
Ba2 0.000 0.500 0.000
In1 0.000 0.000 0.385
Ir1 0.000 0.000 0.000